Version a
NiAgHg2: optimized geometry, PBE.

Cell lengths 4.7666, 3.0855, 4.9109 Å; angles 90.02, 90.00, 90.00 degrees
Positions (direct):
Ag1 0.5000 0.6245 0.8100
Hg1 0.0000 0.1249 0.9279
Hg2 0.5000 0.1245 0.3272
Ni1 0.0000 0.6261 0.4349

Results
Spin magnetization, μB per atom: 0.00
Theoretical density, Mg/m³: 13.05
Space-group type: Pm

Version b
NiAgHg2: optimized geometry, PBE.

Cell lengths 4.1341, 4.1341, 9.9984 Å; angles 78.07, 78.07, 90.00 degrees
Positions (direct):
Hg1 0.3750 0.3871 0.7500
Hg2 0.6129 0.1250 0.2500
Hg3 0.1371 0.6250 0.2500
Hg4 0.8750 0.8629 0.7500
Ag1 0.7500 0.2500 0.5000
Ag2 0.0000 0.0000 0.0000
Ni1 0.2500 0.7500 0.5000
Ni2 0.5000 0.5000 0.0000

Results
Spin magnetization, μB per atom: 0.00
Theoretical density, Mg/m³: 11.54
Space-group type: I-42d

Computed energies relative to the best structure, in eV/atom: version a 0.000; version b 0.173